Version one
A plane-wave DFT calculation with GGA+U was carried out for a relaxed LiCoP2O7 crystal.

Cell and atoms, written as CIF:
```
data_LiCoP2O7
_symmetry_space_group_name_H-M 'P -1'
_symmetry_Int_Tables_number 2
_cell_length_a 4.932
_cell_length_b 6.077
_cell_length_c 8.971
_cell_angle_alpha 74.42
_cell_angle_beta 86.02
_cell_angle_gamma 85.75
loop_
_symmetry_equiv_pos_as_xyz
'x,y,z'
'-x,-y,-z'
loop_
_atom_site_label
_atom_site_type_symbol
_atom_site_fract_x
_atom_site_fract_y
_atom_site_fract_z
Li1 Li 0.205 0.299 0.027
Co1 Co 0.257 0.990 0.729
P1 P 0.220 0.284 0.375
P2 P 0.271 0.738 0.161
O1 O 0.067 0.775 0.643
O2 O 0.073 0.946 0.169
O3 O 0.196 0.633 0.035
O4 O 0.225 0.559 0.329
O5 O 0.318 0.215 0.540
O6 O 0.424 0.205 0.257
O7 O 0.434 0.192 0.855
```

=====

Version two
A plane-wave DFT calculation with GGA+U was carried out for a relaxed LiCoP2O7 crystal.

Cell and atoms, written as CIF:
```
data_LiCoP2O7
_symmetry_space_group_name_H-M 'P 1'
_symmetry_Int_Tables_number 1
_cell_length_a 5.093
_cell_length_b 6.795
_cell_length_c 8.126
_cell_angle_alpha 68.40
_cell_angle_beta 87.33
_cell_angle_gamma 87.77
loop_
_symmetry_equiv_pos_as_xyz
'x,y,z'
loop_
_atom_site_label
_atom_site_type_symbol
_atom_site_fract_x
_atom_site_fract_y
_atom_site_fract_z
Li1 Li 0.000 0.000 0.000
Li2 Li 0.498 0.367 0.439
Co1 Co 0.480 0.973 0.278
Co2 Co 0.956 0.408 0.736
P1 P 0.000 0.636 0.314
P2 P 0.436 0.719 0.701
P3 P 0.484 0.075 0.835
P4 P 0.957 0.290 0.183
O1 O 0.152 0.655 0.697
O2 O 0.165 0.151 0.305
O3 O 0.290 0.670 0.335
O4 O 0.306 0.236 0.701
O5 O 0.405 0.039 0.029
O6 O 0.423 0.842 0.836
O7 O 0.536 0.878 0.523
O8 O 0.620 0.530 0.782
O9 O 0.673 0.239 0.258
O10 O 0.777 0.115 0.791
O11 O 0.840 0.842 0.229
O12 O 0.866 0.476 0.481
O13 O 0.993 0.291 0.995
O14 O 0.997 0.532 0.163
```

=====

Version three
A plane-wave DFT calculation with GGA+U was carried out for a relaxed LiCoP2O7 crystal.

Cell and atoms, written as CIF:
```
data_LiCoP2O7
_symmetry_space_group_name_H-M 'C 1 2/c 1'
_symmetry_Int_Tables_number 15
_cell_length_a 9.642
_cell_length_b 8.125
_cell_length_c 13.385
_cell_angle_alpha 90.00
_cell_angle_beta 110.28
_cell_angle_gamma 90.00
loop_
_symmetry_equiv_pos_as_xyz
'x,y,z'
'-x,-y,-z'
'-x,y,-z+1/2'
'x,-y,z+1/2'
'x+1/2,y+1/2,z'
'-x+1/2,-y+1/2,-z'
'-x+1/2,y+1/2,-z+1/2'
'x+1/2,-y+1/2,z+1/2'
loop_
_atom_site_label
_atom_site_type_symbol
_atom_site_fract_x
_atom_site_fract_y
_atom_site_fract_z
Li1 Li 0.126 0.108 0.151
Co1 Co 0.136 0.269 0.642
P1 P 0.128 0.456 0.429
P2 P 0.169 0.079 0.863
O1 O 0.008 0.449 0.643
O2 O 0.019 0.090 0.879
O3 O 0.086 0.304 0.479
O4 O 0.183 0.089 0.314
O5 O 0.206 0.224 0.804
O6 O 0.206 0.411 0.021
O7 O 0.238 0.421 0.372
```

=====

Version four
A plane-wave DFT calculation with GGA+U was carried out for a relaxed LiCoP2O7 crystal.

Cell and atoms, written as CIF:
```
data_LiCoP2O7
_symmetry_space_group_name_H-M 'P 1 21 1'
_symmetry_Int_Tables_number 4
_cell_length_a 4.880
_cell_length_b 8.150
_cell_length_c 6.997
_cell_angle_alpha 90.00
_cell_angle_beta 107.68
_cell_angle_gamma 90.00
loop_
_symmetry_equiv_pos_as_xyz
'x,y,z'
'-x,y+1/2,-z'
loop_
_atom_site_label
_atom_site_type_symbol
_atom_site_fract_x
_atom_site_fract_y
_atom_site_fract_z
Li1 Li 0.162 0.000 0.165
Co1 Co 0.214 0.640 0.230
P1 P 0.222 0.929 0.586
P2 P 0.403 0.321 0.024
O1 O 0.041 0.476 0.349
O2 O 0.132 0.841 0.384
O3 O 0.188 0.180 0.985
O4 O 0.254 0.489 0.009
O5 O 0.392 0.817 0.105
O6 O 0.403 0.795 0.745
O7 O 0.408 0.080 0.582
```

=====

version four takes first place; second place is 13 meV/atom up.